Below is an optimized crystal structure of LiIr2Au, with properties calculated at the GGA-PBEsol level.

Results
* crystal system: orthorhombic
* size of the total moment: 0.00 μB/cell
* DFT formation energy: 0.036 eV/atom
* density: 16.86 g/cm³
* density of states at the Fermi level: 0.91 states/eV per atom

Structure (extended XYZ):
```
4
Lattice="2.697 0.000 0.000 0.000 4.562 0.000 0.000 0.000 4.708" Properties=species:S:1:pos:R:3 pbc="T T T"
Li 1.349 0.000 2.354
Ir 0.000 0.000 0.000
Au 0.000 2.281 2.354
Ir 1.349 2.281 0.000
```

=====

Below is an optimized crystal structure of ZnSiS2, with properties calculated at the GGA-PBEsol level.

Results
* crystal system: trigonal
* size of the total moment: 0.00 μB/cell
* density: 3.50 g/cm³
* formation energy from raw total energies: 0.00 eV/atom
* density of states at the Fermi level: 0.35 states/eV per atom

Structure (extended XYZ):
```
4
Lattice="-2.235 -1.913 1.947 1.154 -1.659 2.892 -1.841 4.410 5.416" Properties=species:S:1:pos:R:3 pbc="T T T"
Si 0.000 0.000 0.000
Zn -1.461 0.420 5.127
S -1.382 2.677 4.239
S -1.540 -1.838 6.016
```

=====

Below is an optimized crystal structure of CdRuCl2, with properties calculated at the GGA-PBEsol level.

Results
* crystal system: tetragonal
* energy relative to the lowest polymorph listed for this composition: 2.50 eV/f.u.
* size of the total moment: 0.00 μB/cell
* density: 7.07 g/cm³
* formation energy from raw total energies: 0.52 eV/atom
* density of states at the Fermi level: 0.76 states/eV per atom

Structure (extended XYZ):
```
4
Lattice="-0.798 2.856 -1.237 -3.775 -1.829 -1.788 -2.294 1.009 3.809" Properties=species:S:1:pos:R:3 pbc="T T T"
Ru -3.433 1.018 0.392
Cl -1.147 0.505 1.905
Cl -1.887 -0.914 -0.894
Cd -0.399 1.428 -0.618
```

=====

Below is an optimized crystal structure of Sc2CrCu, with properties calculated at the GGA-PBEsol level.

Results
* crystal system: cubic
* energy relative to the lowest polymorph listed for this composition: 0.00 eV/f.u.
* size of the total moment: 3.07 μB/cell
* DFT formation energy: 0.116 eV/atom
* density: 5.00 g/cm³
* density of states at the Fermi level: 0.84 states/eV per atom

Structure (extended XYZ):
```
4
Lattice="-1.148 4.391 0.668 -0.934 1.509 4.230 2.916 2.837 2.119" Properties=species:S:1:pos:R:3 pbc="T T T"
Cr 0.417 4.368 3.508
Sc 0.625 6.552 5.263
Sc 0.208 2.184 1.754
Cu 0.000 0.000 0.000
```

=====

Below is an optimized crystal structure of GdTiGe, with properties calculated at the GGA-PBEsol level.

Results
* crystal system: tetragonal
* size of the total moment: 13.97 μB/cell
* DFT formation energy: -0.726 eV/atom
* density: 7.46 g/cm³
* density of states at the Fermi level: 0.83 states/eV per atom

Structure (extended XYZ):
```
6
Lattice="4.014 0.000 0.000 0.000 4.014 0.000 0.000 0.000 7.677" Properties=species:S:1:pos:R:3 pbc="T T T"
Ti 2.007 2.007 0.000
Ge 0.000 2.007 5.857
Gd 0.000 2.007 2.669
Ge 2.007 0.000 1.820
Ti 0.000 0.000 0.000
Gd 2.007 0.000 5.008
```

=====

Below is an optimized crystal structure of LaTa2Pb, with properties calculated at the GGA-PBEsol level.

Results
* crystal system: monoclinic
* size of the total moment: 0.00 μB/cell
* DFT formation energy: 0.409 eV/atom
* density: 12.11 g/cm³
* density of states at the Fermi level: 1.17 states/eV per atom

Structure (extended XYZ):
```
4
Lattice="-0.828 -2.804 0.946 4.684 0.631 0.978 -2.264 2.686 5.983" Properties=species:S:1:pos:R:3 pbc="T T T"
Ta 0.398 1.779 5.620
Pb 1.209 -1.238 2.378
La 3.039 0.634 4.538
Ta -2.177 2.598 5.795
```